CoH18C20N4O2: optimized geometry, PBE+U.

abc: 6.4082 8.1276 8.6973
angles: 86.69 73.57 87.98
Closest atoms and distances in Å follow each position.
Fractional coordinates of all 45 atoms:
Co  0.0000  0.0000  0.0000  4 N 1.94-1.96
H  0.1242  0.5752  0.7497  1 C 1.08
H  0.1304  0.3072  0.5556  1 C 1.09
H  0.2383  0.7951  0.4397  1 C 1.09
H  0.2785  0.9317  0.6795  1 C 1.09
H  0.2895  0.5688  0.0699  1 C 1.11
H  0.3739  0.1288  0.0802  1 C 1.09
H  0.4425  0.2648  0.3060  1 C 1.09
H  0.4667  0.5585  0.3396  1 C 1.09
H  0.4948  0.1221  0.7834  1 C 1.09
H  0.5052  0.8779  0.2166  1 C 1.09
H  0.5333  0.4415  0.6604  1 C 1.09
H  0.5575  0.7352  0.6940  1 C 1.09
H  0.6261  0.8712  0.9198  1 C 1.09
H  0.7105  0.4312  0.9301  1 C 1.11
H  0.7215  0.0683  0.3205  1 C 1.09
H  0.7617  0.2049  0.5603  1 C 1.09
H  0.8696  0.6928  0.4444  1 C 1.09
H  0.8758  0.4248  0.2503  1 C 1.08
C  0.0370  0.3237  0.8610  1 N 1.38, 2 C 1.41-1.42
C  0.0978  0.8098  0.5435  1 H 1.09
C  0.1063  0.2464  0.4536  1 H 1.09
C  0.1227  0.8859  0.6761  1 H 1.09
C  0.1747  0.4503  0.7747  1 H 1.08
C  0.1894  0.6812  0.0626  1 H 1.11
C  0.2421  0.1462  0.1887  1 H 1.09
C  0.2789  0.2232  0.3169  1 H 1.09
C  0.3666  0.2153  0.7900  1 H 1.09
C  0.3846  0.3812  0.7291  1 H 1.09
C  0.6154  0.6188  0.2709  1 H 1.09
C  0.6334  0.7847  0.2100  1 H 1.09
C  0.7211  0.7768  0.6831  1 H 1.09
C  0.7579  0.8538  0.8113  1 H 1.09
C  0.8106  0.3188  0.9374  1 H 1.11
C  0.8253  0.5497  0.2253  1 H 1.08
C  0.8773  0.1141  0.3239  1 H 1.09
C  0.8937  0.7536  0.5464  1 H 1.09
C  0.9022  0.1902  0.4565  1 H 1.09
C  0.9630  0.6763  0.1390  1 N 1.38, 2 C 1.41-1.42
N  0.0442  0.0932  0.1911  2 C 1.35
N  0.1592  0.1811  0.8689  2 C 1.34-1.38
N  0.8408  0.8189  0.1311  2 C 1.34-1.38
N  0.9558  0.9068  0.8089  2 C 1.35
O  0.2784  0.8094  0.9874  1 C 1.26
O  0.7216  0.1906  0.0126  1 C 1.26

Summary:
**Space-group type**: P-1 (2)
**VASP energy**: -296.45 eV per formula unit
**Calculated volume**: 433.68 Å³/cell